1.
12
Lattice="2.674 1.544 7.848 -2.674 1.544 7.848 0.000 -3.088 7.848" Properties=species:S:1:pos:R:3 comment="HgTe2PbO8 (GGA-PBE, optimized geometry)" formation_energy_uncorrected_ev_per_fu=-7.92 magnetic_moment_mub_per_fu=0.00 dos_at_fermi_per_ev_atom=0.000 space_group=R32 energy_ha_per_atom=-0.177 pbc="T T T"
Hg 0.000 0.000 0.000
Te 0.000 0.000 5.835
Te 0.000 0.000 17.708
Pb 0.000 0.000 11.771
O -0.892 -1.422 9.357
O 0.000 0.000 3.989
O -0.786 -1.484 14.186
O -0.786 1.484 9.357
O -0.892 1.422 14.186
O 1.678 -0.062 9.357
O 0.000 0.000 19.554
O 1.678 0.062 14.186

2.
20
Lattice="4.821 -5.698 0.000 4.821 5.698 0.000 -2.683 0.000 5.901" Properties=species:S:1:pos:R:3 comment="Ti2HgPbO6 (GGA-PBE, optimized geometry)" formation_energy_uncorrected_ev_per_fu=-20.97 magnetic_moment_mub_per_fu=0.00 dos_at_fermi_per_ev_atom=0.000 space_group=C2/c energy_ha_per_atom=-0.259 pbc="T T T"
Ti 0.932 0.811 1.108
Ti -0.410 -0.811 4.059
Ti 7.368 0.811 1.842
Ti 6.026 -0.811 4.793
Hg 4.150 2.902 1.475
Hg 2.808 -2.902 4.426
Pb 2.808 1.046 4.426
Pb 4.150 -1.046 1.475
O -0.133 0.437 2.663
O 1.310 3.121 5.331
O -1.474 -0.437 5.614
O 2.557 0.744 1.893
O 4.307 3.121 3.521
O 1.215 -0.744 4.844
O 5.743 0.744 1.057
O 2.651 -3.121 2.380
O 4.402 -0.744 4.008
O 8.433 0.437 0.287
O 5.648 -3.121 0.570
O 7.091 -0.437 3.238

3.
12
Lattice="7.698 0.000 0.000 0.000 5.967 0.000 -3.434 0.000 7.289" Properties=species:S:1:pos:R:3 comment="Tl2HgPbO2 (GGA-PBE, optimized geometry)" formation_energy_uncorrected_ev_per_fu=-3.93 magnetic_moment_mub_per_fu=0.00 space_group=P2_1/m energy_ha_per_atom=-0.138 pbc="T T T"
Tl -0.780 1.492 2.801
Tl 1.019 4.476 0.872
Tl 3.246 1.492 6.417
Tl 5.044 4.476 4.488
Hg -0.415 1.492 6.291
Hg 4.679 4.476 0.998
Pb 1.359 4.476 4.495
Pb 2.906 1.492 2.794
O 1.081 2.997 2.681
O 1.081 5.954 2.681
O 3.183 0.013 4.608
O 3.183 2.971 4.608

4.
14
Lattice="-3.446 3.494 4.917 3.446 -3.494 4.917 3.446 3.494 -4.917" Properties=species:S:1:pos:R:3 comment="TlHgPbO4 (GGA-PBE, optimized geometry)" formation_energy_uncorrected_ev_per_fu=-4.49 magnetic_moment_mub_per_fu=0.00 dos_at_fermi_per_ev_atom=0.131 space_group=Imma energy_ha_per_atom=-0.161 pbc="T T T"
Tl -1.723 1.747 2.458
Tl 1.723 1.747 2.458
Hg 3.446 1.747 -1.266
Hg 0.000 1.747 6.183
Pb 0.000 0.000 0.000
Pb 0.000 3.494 0.000
O 1.520 1.747 0.097
O 1.926 -1.747 5.014
O 0.000 0.187 2.300
O 3.446 0.187 2.617
O 0.000 3.307 2.300
O 3.446 3.307 2.617
O 1.520 5.241 -0.097
O 1.926 1.747 4.819

5.
5
Lattice="6.019 0.000 0.000 0.000 6.019 0.000 0.000 0.000 4.163" Properties=species:S:1:pos:R:3 comment="TlHg2PbO (GGA-PBE, optimized geometry)" formation_energy_uncorrected_ev_per_fu=0.86 magnetic_moment_mub_per_fu=0.00 dos_at_fermi_per_ev_atom=0.662 space_group=P4/mmm energy_ha_per_atom=-0.079 pbc="T T T"
Tl 0.000 0.000 0.000
Hg 0.000 3.010 0.000
Hg 3.010 0.000 0.000
Pb 3.010 3.010 2.082
O 0.000 0.000 2.082

6.
5
Lattice="6.085 0.000 0.000 0.000 6.085 0.000 0.000 0.000 5.800" Properties=species:S:1:pos:R:3 comment="Tl2HgPbO (GGA-PBE, optimized geometry)" formation_energy_uncorrected_ev_per_fu=3.36 magnetic_moment_mub_per_fu=0.02 dos_at_fermi_per_ev_atom=1.317 space_group=P4/mmm energy_ha_per_atom=-0.076 pbc="T T T"
Tl 0.000 3.043 0.000
Tl 3.043 0.000 0.000
Hg 0.000 0.000 2.900
Pb 0.000 0.000 0.000
O 3.043 3.043 2.900